Record 1
LaScN: relaxed, PBE.

```
3
Lattice="3.4011 0.0000 0.0000 -1.7005 2.9454 0.0000 0.0000 0.0000 6.3255" Properties=species:S:1:pos:R:3 pbc="T T T"
La 0.0000 0.0000 0.0000
Sc 1.7005 0.9818 2.6812
N 0.0000 1.9636 1.7348
```

Computed properties:
Its density of states at the Fermi level is 0.95 states/eV/atom. The value obtained for the formation energy from raw total energies is -0.98 eV per atom. The total energy is -7.51 eV per atom.

***

Record 2
Pm3Y4Ho: relaxed, PBE.

```
8
Lattice="3.6029 0.0000 0.0000 0.0000 10.1229 0.0000 -0.0118 0.0000 7.1960" Properties=species:S:1:pos:R:3 pbc="T T T"
Pm 0.0000 0.0000 0.0000
Pm -0.0059 0.0000 3.5980
Pm 0.0000 5.0615 0.0000
Y 1.7985 2.5520 1.8113
Y 1.7925 2.5520 5.3847
Y 1.7985 7.5709 1.8113
Y 1.7925 7.5709 5.3847
Ho -0.0059 5.0615 3.5980
```

Computed properties:
The energy of formation comes out at 0.02 eV/atom. Its density of states at the Fermi level is 1.48 states/eV/atom. The total energy is -5.57 eV per atom.